GaGe after structural relaxation. Source: Alexandria via LeMat-Bulk, functional GGA-PBE.

Values from the calculation:
M_tot in μB/f.u.: 0.000
ΔH_f (0 K) in eV per atom: 0.17
Density in g/cm3: 4.7

Structure (CIF):
```
data_GaGe
_cell_length_a 4.2276
_cell_length_b 10.2299
_cell_length_c 6.9082
_cell_angle_alpha 90.00
_cell_angle_beta 90.00
_cell_angle_gamma 90.00
_symmetry_space_group_name_H-M 'P m m n'
_symmetry_Int_Tables_number 59
loop_
_symmetry_equiv_pos_as_xyz
'x,y,z'
'-x,-y,-z'
'-x+1/2,-y+1/2,z'
'x+1/2,y+1/2,-z'
'x+1/2,-y,-z'
'-x+1/2,y,z'
'-x,y+1/2,-z'
'x,-y+1/2,z'
loop_
_atom_site_label
_atom_site_type_symbol
_atom_site_fract_x
_atom_site_fract_y
_atom_site_fract_z
Ga1 Ga 0.2500 0.0956 0.2098
Ga2 Ga 0.2500 0.7500 0.3345
Ge1 Ge 0.2500 0.2500 0.4874
Ge2 Ge 0.2500 0.6184 0.0115
```

***

CeMg2Zn9 after structural relaxation. Source: Alexandria via LeMat-Bulk, functional GGA-PBE.

Values from the calculation:
M_tot in μB/f.u.: 0.736
ΔH_f (0 K) in eV per atom: -0.18
Density in g/cm3: 6.2

Structure (CIF):
```
data_CeMg2Zn9
_cell_length_a 5.3148
_cell_length_b 5.3148
_cell_length_c 25.3876
_cell_angle_alpha 90.00
_cell_angle_beta 90.00
_cell_angle_gamma 120.00
_symmetry_space_group_name_H-M 'R -3 m'
_symmetry_Int_Tables_number 166
_symmetry_space_group_name_Hall '-R 3 2"'
loop_
_atom_site_label
_atom_site_type_symbol
_atom_site_fract_x
_atom_site_fract_y
_atom_site_fract_z
Ce1 Ce 0.0000 0.0000 0.0000
Mg1 Mg 0.0000 0.0000 0.1410
Zn1 Zn 0.0000 0.0000 0.3339
Zn2 Zn 0.0000 0.0000 0.5000
Zn3 Zn 0.0060 0.5030 0.9141
```

***

MnBr after structural relaxation. Source: Alexandria via LeMat-Bulk, functional GGA-PBE.

Values from the calculation:
Energy relative to the elements, uncorrected in eV/atom: 0.313
M_tot in μB/f.u.: 0.162
Density in g/cm3: 4.8

Structure (CIF):
```
data_MnBr
_cell_length_a 9.6700
_cell_length_b 9.6700
_cell_length_c 3.4418
_cell_angle_alpha 90.00
_cell_angle_beta 90.00
_cell_angle_gamma 120.00
_symmetry_space_group_name_H-M 'P 63/m'
_symmetry_Int_Tables_number 176
_symmetry_space_group_name_Hall '-P 6c'
loop_
_atom_site_label
_atom_site_type_symbol
_atom_site_fract_x
_atom_site_fract_y
_atom_site_fract_z
Mn1 Mn 0.0020 0.4407 0.2500
Br1 Br 0.1606 0.7718 0.2500
```

***

ReGeIN2 after structural relaxation. Source: Alexandria via LeMat-Bulk, functional GGA-PBE.

Values from the calculation:
Energy relative to the elements, uncorrected in eV/atom: 2.066
M_tot in μB/f.u.: 4.683
Density in g/cm3: 7.1

Structure (CIF):
```
data_ReGeIN2
_cell_length_a 3.8452
_cell_length_b 3.8452
_cell_length_c 6.5210
_cell_angle_alpha 90.00
_cell_angle_beta 90.00
_cell_angle_gamma 90.00
_symmetry_space_group_name_H-M 'P 4/m m m'
_symmetry_Int_Tables_number 123
_symmetry_space_group_name_Hall '-P 4 2'
loop_
_atom_site_label
_atom_site_type_symbol
_atom_site_fract_x
_atom_site_fract_y
_atom_site_fract_z
Re1 Re 0.0000 0.0000 0.0000
Ge1 Ge 0.5000 0.5000 0.5000
I1 I 0.5000 0.5000 0.0000
N1 N 0.0000 0.5000 0.5000
```

***

Cu5Ag3Sn12 after structural relaxation. Source: Alexandria via LeMat-Bulk, functional GGA-PBE.

Values from the calculation:
M_tot in μB/f.u.: 0.000
ΔH_f (0 K) in eV per atom: 0.13
Density in g/cm3: 6.9

Structure (CIF):
```
data_Cu5Ag3Sn12
_cell_length_a 15.8724
_cell_length_b 15.8724
_cell_length_c 15.8724
_cell_angle_alpha 90.00
_cell_angle_beta 90.00
_cell_angle_gamma 90.00
_symmetry_space_group_name_H-M 'I a -3 d'
_symmetry_Int_Tables_number 230
_symmetry_space_group_name_Hall '-I 4bd 2c 3'
loop_
_atom_site_label
_atom_site_type_symbol
_atom_site_fract_x
_atom_site_fract_y
_atom_site_fract_z
Cu1 Cu 0.0000 0.0000 0.0000
Cu2 Cu 0.0000 0.2500 0.3750
Ag1 Ag 0.0000 0.2500 0.1250
Sn1 Sn 0.0237 0.0730 0.6478
```

***

CdSb2Pb3 after structural relaxation. Source: Alexandria via LeMat-Bulk, functional GGA-PBE.

Values from the calculation:
Energy relative to the elements, uncorrected in eV/atom: 0.045
M_tot in μB/f.u.: 0.000
Density in g/cm3: 8.3

Structure (CIF):
```
data_CdSb2Pb3
_cell_length_a 17.2753
_cell_length_b 4.5767
_cell_length_c 11.3710
_cell_angle_alpha 90.00
_cell_angle_beta 119.40
_cell_angle_gamma 90.00
_symmetry_space_group_name_H-M 'C 1 2/m 1'
_symmetry_Int_Tables_number 12
_symmetry_space_group_name_Hall '-C 2y'
loop_
_atom_site_label
_atom_site_type_symbol
_atom_site_fract_x
_atom_site_fract_y
_atom_site_fract_z
Cd1 Cd 0.0780 0.0000 0.1752
Sb1 Sb 0.1202 0.0000 0.9461
Sb2 Sb 0.1507 0.5000 0.3660
Pb1 Pb 0.0499 0.5000 0.7053
Pb2 Pb 0.1074 0.0000 0.5254
Pb3 Pb 0.2279 0.5000 0.1432
```